No. 1
Density functional theory data (PBE-GGA) for crystalline RbTmIn2I6 at its relaxed geometry.

Lattice parameters (Å, degrees): 8.6363 8.6355 9.0787 61.58 61.58 59.97
Atoms (fractional coordinates):
Rb 0.8170 0.8171 0.5488
I 0.3973 0.6922 0.7725
I 0.2338 0.9746 0.2366
I 0.1380 0.3973 0.7727
I 0.5549 0.2339 0.2365
I 0.9746 0.5552 0.2365
I 0.6923 0.1378 0.7727
In 0.5192 0.5190 0.4427
In 0.0078 0.0079 0.9766
Tm 0.3268 0.3267 0.0198

Values from the calculation:
Final energy in eV per atom: -3.0489
DOS at the Fermi energy in states/eV per cell: 0.00
Size of the total moment in μB/f.u.: 0.00
Crystal system: trigonal
Volume in Å³/cell: 489.8

=====

No. 2
Density functional theory data (PBE-GGA) for crystalline Rb2UInI6 at its relaxed geometry.

Lattice parameters (Å, degrees): 8.7001 8.7001 17.6602 75.74 75.74 60.00
Atoms (fractional coordinates):
I 0.3014 0.7958 0.1071
I 0.1276 0.6320 0.6084
In 0.5840 0.5840 0.2480
In 0.4160 0.4160 0.7520
Rb 0.3125 0.3125 0.0624
U 0.5000 0.5000 0.5000
I 0.7958 0.3014 0.1071
I 0.7958 0.7958 0.1071
I 0.2042 0.6986 0.8929
I 0.2042 0.2042 0.8929
U 0.0000 0.0000 0.0000
I 0.6320 0.1276 0.6084
I 0.6320 0.6320 0.6084
I 0.3680 0.3680 0.3916
Rb 0.6875 0.6875 0.9376
Rb 0.1448 0.1448 0.5655
Rb 0.8552 0.8552 0.4345
I 0.6986 0.2042 0.8929
I 0.8724 0.3680 0.3916
I 0.3680 0.8724 0.3916

Values from the calculation:
Final energy in eV per atom: -3.5138
DOS at the Fermi energy in states/eV per cell: 7.02
Size of the total moment in μB/f.u.: 3.00
Crystal system: trigonal
Volume in Å³/cell: 1109.8

=====

No. 3
Density functional theory data (PBE-GGA) for crystalline Rb2UInI8 at its relaxed geometry.

Lattice parameters (Å, degrees): 8.4809 7.5592 9.9976 90.31 89.69 91.86
Atoms (fractional coordinates):
U 0.0000 0.0000 0.0000
Rb 0.5000 0.4958 0.7471
Rb 0.5000 0.5042 0.2529
I 0.3082 0.2313 0.4976
I 0.3075 0.2033 0.0018
In 0.0000 0.0000 0.5000
I 0.6918 0.7687 0.5024
I 0.6925 0.7967 0.9982
I 0.8829 0.2287 0.7820
I 0.8795 0.2266 0.2208
I 0.1205 0.7734 0.7792
I 0.1171 0.7713 0.2180

Values from the calculation:
Final energy in eV per atom: -3.2764
DOS at the Fermi energy in states/eV per cell: 7.03
Size of the total moment in μB/f.u.: 1.68
Crystal system: triclinic
Volume in Å³/cell: 640.6

=====

No. 4
Density functional theory data (PBE-GGA) for crystalline Rb2VInI6 at its relaxed geometry.

Lattice parameters (Å, degrees): 8.7231 8.7214 8.3324 58.42 58.45 59.98
Atoms (fractional coordinates):
I 0.1054 0.4679 0.8096
I 0.4681 0.6170 0.8095
V 0.3161 0.3161 0.0517
I 0.5272 0.1643 0.2932
Rb 0.0733 0.0732 0.7801
Rb 0.5592 0.5592 0.3227
I 0.6170 0.1049 0.8101
I 0.0154 0.5277 0.2927
I 0.1640 0.0153 0.2935
In 0.8159 0.8160 0.5520

Values from the calculation:
Final energy in eV per atom: -3.1539
DOS at the Fermi energy in states/eV per cell: 9.57
Size of the total moment in μB/f.u.: 1.99
Crystal system: trigonal
Volume in Å³/cell: 437.3

=====

No. 5
Density functional theory data (PBE-GGA) for crystalline Rb2InWI6 at its relaxed geometry.

Lattice parameters (Å, degrees): 8.6239 8.6239 8.6225 59.99 59.99 90.00
Atoms (fractional coordinates):
I 0.7697 0.7697 0.0000
I 0.7696 0.7696 0.4608
Rb 0.7500 0.2500 0.5000
I 0.2303 0.7697 0.0000
Rb 0.2500 0.7500 0.5000
I 0.2304 0.2304 0.5392
In 0.5000 0.5000 0.0000
I 0.2303 0.2303 0.0000
I 0.7697 0.2303 0.0000
W 0.0000 0.0000 0.0000

Values from the calculation:
Final energy in eV per atom: -3.2990
DOS at the Fermi energy in states/eV per cell: 0.00
Size of the total moment in μB/f.u.: 3.00
Crystal system: cubic
Volume in Å³/cell: 453.4

=====

No. 6
Density functional theory data (PBE-GGA) for crystalline RbYIn2I6 at its relaxed geometry.

Lattice parameters (Å, degrees): 8.6564 8.6547 9.1233 61.65 61.65 59.97
Atoms (fractional coordinates):
I 0.9708 0.5586 0.2373
Y 0.3265 0.3265 0.0207
In 0.5185 0.5183 0.4443
Rb 0.8162 0.8164 0.5511
I 0.3950 0.6961 0.7697
In 0.0075 0.0076 0.9774
I 0.5584 0.2333 0.2373
I 0.2333 0.9709 0.2374
I 0.1391 0.3951 0.7699
I 0.6962 0.1389 0.7700

Values from the calculation:
Final energy in eV per atom: -3.2634
DOS at the Fermi energy in states/eV per cell: 0.00
Size of the total moment in μB/f.u.: 0.00
Crystal system: trigonal
Volume in Å³/cell: 494.9

=====

> The highest volume belongs to which entry?

Rb2UInI6